1.
# SrCrSb2

SrCrSb2 after structural relaxation (GGA-PBE, the Alexandria database).

Values from the calculation:
- Offset from the most stable computed form: 0.169 eV per atom
- E_form (uncorrected): -0.179 eV per atom
- M_tot: 3.89 μB/f.u.
- Symmetry: No. 10
- DFT total energy: -20.266 eV per cell

Lattice parameters (Å, degrees): 4.2075 4.2878 6.7092 71.71 90.00 90.00
Atoms (fractional coordinates):
Cr1 0.5000 0.7500 0.7500
Sb1 0.0000 0.9599 0.9499
Sb2 0.0000 0.5401 0.5501
Sr1 0.5000 0.2500 0.2500

***

2.
# SrCrSb3

SrCrSb3 after structural relaxation (GGA-PBE, the Alexandria database).

Values from the calculation:
- Offset from the most stable computed form: 1.227 eV per atom
- E_form (uncorrected): 1.150 eV per atom
- M_tot: 4.78 μB/f.u.
- Symmetry: No. 221
- DFT total energy: -17.923 eV per cell

Lattice parameters (Å, degrees): 5.9534 5.9534 5.9534 90.00 90.00 90.00
Atoms (fractional coordinates):
Sb1 0.0000 0.5000 0.0000
Sb2 0.0000 0.0000 0.5000
Sb3 0.5000 0.0000 0.0000
Cr1 0.5000 0.5000 0.5000
Sr1 0.0000 0.0000 0.0000

***

3.
# SrCrSb2

SrCrSb2 after structural relaxation (GGA-PBE, the Alexandria database).

Values from the calculation:
- Offset from the most stable computed form: 0.235 eV per atom
- E_form (uncorrected): -0.112 eV per atom
- M_tot: 3.18 μB/f.u.
- Symmetry: No. 123
- DFT total energy: -19.998 eV per cell

Lattice parameters (Å, degrees): 3.5698 3.5698 8.0797 90.00 90.00 90.00
Atoms (fractional coordinates):
Cr1 0.5000 0.5000 0.7500
Sb1 0.0000 0.0000 0.9521
Sb2 0.0000 0.0000 0.5479
Sr1 0.5000 0.5000 0.2500

***

4.
# SrCrSb2

SrCrSb2 after structural relaxation (GGA-PBE, the Alexandria database).

Values from the calculation:
- Offset from the most stable computed form: 0.000 eV per atom
- E_form (uncorrected): -0.347 eV per atom
- M_tot: 2.93 μB/f.u.
- Symmetry: No. 12
- DFT total energy: -20.940 eV per cell

Lattice parameters (Å, degrees): 4.4497 4.4497 7.0384 73.39 73.39 57.46
Atoms (fractional coordinates):
Cr1 0.2500 0.2500 0.2500
Sb1 0.9772 0.9772 0.0744
Sb2 0.5228 0.5228 0.4256
Sr1 0.7500 0.7500 0.7500

***

Look up the offset from the most stable computed form of the fourth one. 0.000 eV per atom

***

What did the third record say?
# SrCrSb2

SrCrSb2 after structural relaxation (GGA-PBE, the Alexandria database).

Values from the calculation:
- Offset from the most stable computed form: 0.235 eV per atom
- E_form (uncorrected): -0.112 eV per atom
- M_tot: 3.18 μB/f.u.
- Symmetry: No. 123
- DFT total energy: -19.998 eV per cell

Lattice parameters (Å, degrees): 3.5698 3.5698 8.0797 90.00 90.00 90.00
Atoms (fractional coordinates):
Cr1 0.5000 0.5000 0.7500
Sb1 0.0000 0.0000 0.9521
Sb2 0.0000 0.0000 0.5479
Sr1 0.5000 0.5000 0.2500

***

The highest DFT total energy belongs to which entry? SrCrSb3